[1]
{"formula": "Tm8Sb3Te4S", "functional": "GGA-PBE", "state": "relaxed", "raw_formation_energy_ev_per_atom": -1.2451, "vol_a3_per_atom": 27.51, "space_group": "No. 166", "crystal_system": "trigonal", "lattice": [[4.253, 2.456, 7.024], [-4.253, 2.456, 7.024], [0.000, -4.911, 7.024]], "species": ["Tm", "Tm", "Tm", "Tm", "Tm", "Tm", "Tm", "Tm", "Sb", "Sb", "Sb", "Te", "Te", "Te", "Te", "S"], "frac_coords": [[0.246, 0.246, 0.246], [0.263, 0.731, 0.731], [0.269, 0.269, 0.737], [0.269, 0.737, 0.269], [0.731, 0.263, 0.731], [0.731, 0.731, 0.263], [0.737, 0.269, 0.269], [0.754, 0.754, 0.754], [0.000, 0.000, 0.500], [0.000, 0.500, 0.000], [0.500, 0.000, 0.000], [0.000, 0.000, 0.000], [0.000, 0.500, 0.500], [0.500, 0.000, 0.500], [0.500, 0.500, 0.000], [0.500, 0.500, 0.500]]}


[2]
{"formula": "VSb2TeS", "functional": "GGA-PBE", "state": "relaxed", "raw_formation_energy_ev_per_atom": 0.3502, "vol_a3_per_atom": 25.67, "relative_energy_mev_per_atom": 0, "space_group": "No. 123", "crystal_system": "tetragonal", "lattice": [[5.084, 0.000, 0.000], [0.000, 5.084, 0.000], [0.000, 0.000, 4.965]], "species": ["V", "Sb", "Sb", "Te", "S"], "frac_coords": [[0.000, 0.000, 0.000], [0.000, 0.500, 0.000], [0.500, 0.000, 0.000], [0.000, 0.000, 0.500], [0.500, 0.500, 0.500]]}


[3]
{"formula": "VSb2TeS", "functional": "GGA-PBE", "state": "relaxed", "raw_formation_energy_ev_per_atom": 1.0016, "vol_a3_per_atom": 26.84, "relative_energy_mev_per_atom": 651, "space_group": "No. 123", "crystal_system": "tetragonal", "lattice": [[5.131, 0.000, 0.000], [0.000, 5.131, 0.000], [0.000, 0.000, 5.098]], "species": ["V", "Sb", "Sb", "Te", "S"], "frac_coords": [[0.000, 0.000, 0.000], [0.000, 0.500, 0.500], [0.500, 0.000, 0.500], [0.500, 0.500, 0.000], [0.500, 0.500, 0.500]]}


[4]
{"formula": "SbTe2WS", "functional": "GGA-PBE", "state": "relaxed", "raw_formation_energy_ev_per_atom": 1.3469, "vol_a3_per_atom": 26.73, "relative_energy_mev_per_atom": 622, "space_group": "No. 123", "crystal_system": "tetragonal", "lattice": [[5.091, 0.000, 0.000], [0.000, 5.091, 0.000], [0.000, 0.000, 5.156]], "species": ["Sb", "Te", "Te", "W", "S"], "frac_coords": [[0.000, 0.000, 0.000], [0.000, 0.500, 0.500], [0.500, 0.000, 0.500], [0.500, 0.500, 0.000], [0.000, 0.000, 0.500]]}


[5]
{"formula": "SbTe2WS", "functional": "GGA-PBE", "state": "relaxed", "raw_formation_energy_ev_per_atom": 0.7245, "vol_a3_per_atom": 28.54, "relative_energy_mev_per_atom": 0, "space_group": "No. 123", "crystal_system": "tetragonal", "lattice": [[5.167, 0.000, 0.000], [0.000, 5.167, 0.000], [0.000, 0.000, 5.346]], "species": ["Sb", "Te", "Te", "W", "S"], "frac_coords": [[0.000, 0.000, 0.000], [0.000, 0.500, 0.500], [0.500, 0.000, 0.500], [0.000, 0.000, 0.500], [0.500, 0.500, 0.000]]}


[6]
{"formula": "Y8Sb3Te4S", "functional": "GGA-PBE", "state": "relaxed", "raw_formation_energy_ev_per_atom": -1.3596, "vol_a3_per_atom": 28.73, "space_group": "No. 166", "crystal_system": "trigonal", "lattice": [[4.315, 2.491, 7.128], [-4.315, 2.491, 7.128], [0.000, -4.982, 7.128]], "species": ["Y", "Y", "Y", "Y", "Y", "Y", "Y", "Y", "Sb", "Sb", "Sb", "Te", "Te", "Te", "Te", "S"], "frac_coords": [[0.246, 0.246, 0.246], [0.261, 0.733, 0.733], [0.267, 0.267, 0.739], [0.267, 0.739, 0.267], [0.733, 0.261, 0.733], [0.733, 0.733, 0.261], [0.739, 0.267, 0.267], [0.754, 0.754, 0.754], [0.000, 0.000, 0.500], [0.000, 0.500, 0.000], [0.500, 0.000, 0.000], [0.000, 0.000, 0.000], [0.000, 0.500, 0.500], [0.500, 0.000, 0.500], [0.500, 0.500, 0.000], [0.500, 0.500, 0.500]]}


[7]
{"formula": "YSb2TeS", "functional": "GGA-PBE", "state": "relaxed", "raw_formation_energy_ev_per_atom": -0.0485, "vol_a3_per_atom": 28.32, "relative_energy_mev_per_atom": 0, "space_group": "No. 123", "crystal_system": "tetragonal", "lattice": [[5.226, 0.000, 0.000], [0.000, 5.226, 0.000], [0.000, 0.000, 5.184]], "species": ["Y", "Sb", "Sb", "Te", "S"], "frac_coords": [[0.000, 0.000, 0.000], [0.000, 0.500, 0.500], [0.500, 0.000, 0.500], [0.500, 0.500, 0.000], [0.500, 0.500, 0.500]]}


[8]
{"formula": "Y6SbTe3S2", "functional": "GGA-PBE", "state": "relaxed", "raw_formation_energy_ev_per_atom": -1.5222, "vol_a3_per_atom": 26.77, "space_group": "No. 12", "crystal_system": "monoclinic", "lattice": [[3.628, -6.274, 0.000], [3.628, 6.274, 0.000], [-2.424, 0.000, 7.055]], "species": ["Y", "Y", "Y", "Y", "Y", "Y", "Sb", "Te", "Te", "Te", "S", "S"], "frac_coords": [[0.073, 0.427, 0.784], [0.214, 0.214, 0.210], [0.427, 0.073, 0.784], [0.573, 0.927, 0.216], [0.786, 0.786, 0.790], [0.927, 0.573, 0.216], [0.500, 0.500, 0.000], [0.000, 0.000, 0.500], [0.341, 0.659, 0.500], [0.659, 0.341, 0.500], [0.168, 0.832, 0.000], [0.832, 0.168, 0.000]]}


What is the formula in the second record?
VSb2TeS


Which formula does entry 1 have?
Tm8Sb3Te4S